[1]
## B3PS (meta-GGA SCAN)

Data for a PBEsol-optimized structure of B3PS.

Calculated values
**Formation energy from raw total energies**: 1.76 eV per atom
**M_tot**: 0.000 μB per cell
**Calculated density**: 2934 kg/m3
**Crystal system**: cubic

Cell lengths 3.781, 3.781, 3.781 Å; angles 90.00, 90.00, 90.00 degrees
Fractional positions:
P 0.500 0.500 0.500
S 0.000 0.000 0.000
B 0.000 0.500 0.000
B 0.000 0.000 0.500
B 0.500 0.000 0.000

***

[2]
## BP2S2 (meta-GGA SCAN)

Data for a PBEsol-optimized structure of BP2S2.

Calculated values
**Formation energy from raw total energies**: 1.86 eV per atom
**M_tot**: 0.002 μB per cell
**Calculated density**: 2589 kg/m3
**Crystal system**: tetragonal

Cell lengths 4.527, 4.404, 4.404 Å; angles 90.00, 90.00, 90.00 degrees
Fractional positions:
P 0.000 0.000 0.500
P 0.000 0.500 0.000
S 0.000 0.000 0.000
S 0.500 0.000 0.000
B 0.500 0.500 0.500

***

[3]
## BP2S2 (meta-GGA SCAN)

Data for a PBEsol-optimized structure of BP2S2.

Calculated values
**Formation energy from raw total energies**: 1.52 eV per atom
**M_tot**: 0.000 μB per cell
**Calculated density**: 2648 kg/m3
**Crystal system**: tetragonal

Cell lengths 4.431, 4.401, 4.401 Å; angles 90.00, 90.00, 90.00 degrees
Fractional positions:
P 0.000 0.000 0.000
P 0.500 0.000 0.000
S 0.000 0.000 0.500
S 0.000 0.500 0.000
B 0.500 0.500 0.500

***

[4]
## ScBP2S (meta-GGA SCAN)

Data for a PBEsol-optimized structure of ScBP2S.

Calculated values
**Formation energy from raw total energies**: 1.14 eV per atom
**M_tot**: 0.000 μB per cell
**Calculated density**: 2196 kg/m3
**Crystal system**: tetragonal

Cell lengths 4.767, 4.874, 4.874 Å; angles 90.00, 90.00, 90.00 degrees
Fractional positions:
Sc 0.000 0.000 0.000
P 0.000 0.000 0.500
P 0.000 0.500 0.000
S 0.500 0.000 0.000
B 0.500 0.500 0.500

***

[5]
## BPSeS2 (meta-GGA SCAN)

Data for a PBEsol-optimized structure of BPSeS2.

Calculated values
**Formation energy from raw total energies**: 0.96 eV per atom
**M_tot**: 0.000 μB per cell
**Calculated density**: 4282 kg/m3
**Crystal system**: tetragonal

Cell lengths 4.036, 4.036, 4.401 Å; angles 90.00, 90.00, 90.00 degrees
Fractional positions:
P 0.000 0.000 0.500
S 0.000 0.500 0.000
S 0.500 0.000 0.000
B 0.000 0.000 0.000
Se 0.500 0.500 0.500

***

[6]
## SiBPS2 (meta-GGA SCAN)

Data for a PBEsol-optimized structure of SiBPS2.

Calculated values
**Formation energy from raw total energies**: 0.92 eV per atom
**M_tot**: 0.002 μB per cell
**Calculated density**: 3182 kg/m3
**Crystal system**: tetragonal

Cell lengths 4.003, 4.180, 4.180 Å; angles 90.00, 90.00, 90.00 degrees
Fractional positions:
P 0.500 0.000 0.000
S 0.000 0.000 0.500
S 0.000 0.500 0.000
B 0.000 0.000 0.000
Si 0.500 0.500 0.500